Entry 1:
This record from the Alexandria database describes crystalline Mo2PdRu at its relaxed geometry. The functional is PBE.

abc: 4.4379 4.4379 4.4379
angles: 60.00 60.00 60.00
Positions (direct):
Mo1 0.2500 0.2500 0.2500
Mo2 0.7500 0.7500 0.7500
Pd1 0.0000 0.0000 0.0000
Ru1 0.5000 0.5000 0.5000

Computed properties:
Uncorrected energy, Ry per atom: -0.636
Space-group type: Fm-3m, No. 225
Excess energy over the best structure of this formula in the dataset, meV per atom: 386
Energy relative to the elements, kJ/mol of atoms: 37.1

***

Entry 2:
This record from the Alexandria database describes crystalline BaCdSbRh2 at its relaxed geometry. The functional is PBE.

abc: 5.0883 5.0883 5.9853
angles: 90.00 90.00 90.00
Positions (direct):
Ba1 0.0000 0.0000 0.0000
Cd1 0.0000 0.0000 0.5000
Sb1 0.5000 0.5000 0.5000
Rh1 0.0000 0.5000 0.0000
Rh2 0.5000 0.0000 0.0000

Computed properties:
Energy relative to the elements, uncorrected, eV/atom: 1.37
Uncorrected energy, Ry per atom: -0.218
Space-group type: P4/mmm, No. 123

***

Question: uncorrected energy of number 1 (Mo2PdRu)?
Answer: -0.636 Ry per atom

***

What did the first record say?
This record from the Alexandria database describes crystalline Mo2PdRu at its relaxed geometry. The functional is PBE.

abc: 4.4379 4.4379 4.4379
angles: 60.00 60.00 60.00
Positions (direct):
Mo1 0.2500 0.2500 0.2500
Mo2 0.7500 0.7500 0.7500
Pd1 0.0000 0.0000 0.0000
Ru1 0.5000 0.5000 0.5000

Computed properties:
Uncorrected energy, Ry per atom: -0.636
Space-group type: Fm-3m, No. 225
Excess energy over the best structure of this formula in the dataset, meV per atom: 386
Energy relative to the elements, kJ/mol of atoms: 37.1

***

Question: What is the uncorrected energy in the first record?
Answer: -0.636 Ry per atom

***

What did the second record say?
This record from the Alexandria database describes crystalline BaCdSbRh2 at its relaxed geometry. The functional is PBE.

abc: 5.0883 5.0883 5.9853
angles: 90.00 90.00 90.00
Positions (direct):
Ba1 0.0000 0.0000 0.0000
Cd1 0.0000 0.0000 0.5000
Sb1 0.5000 0.5000 0.5000
Rh1 0.0000 0.5000 0.0000
Rh2 0.5000 0.0000 0.0000

Computed properties:
Energy relative to the elements, uncorrected, eV/atom: 1.37
Uncorrected energy, Ry per atom: -0.218
Space-group type: P4/mmm, No. 123